No. 1
# Li5Hg6Pd

An optimized crystal structure of Li5Hg6Pd (GGA-PBE, Alexandria via LeMat-Bulk).

a = 4.5972 Å, b = 13.8674 Å, c = 6.8598 Å
α = 90.00°, β = 90.00°, γ = 90.00°
With the nearest neighbours (Å) after each atom.
Space group Cmmm (No. 65)
Inequivalent atoms, fractional coordinates:
1 Li 0.0000 0.0000 0.0000 [2 per cell]  8 Hg 2.82-2.91
2 Li 0.0000 0.3285 0.0000 [4 per cell]  8 Hg 2.80-2.88
3 Li 0.0000 0.3432 0.5000 [4 per cell]  8 Hg 2.82-2.96
4 Hg 0.0000 0.1690 0.2511 [8 per cell]  7 Li 2.80-2.96, 1 Pd 2.90
5 Hg 0.0000 0.5000 0.2380 [4 per cell]  6 Li 2.82-2.88, 2 Pd 2.92
6 Pd 0.0000 0.0000 0.5000 [2 per cell]  8 Hg 2.90-2.92, 4 Li 3.16

No. 2
# LiHg4Pd

An optimized crystal structure of LiHg4Pd (GGA-PBE, Alexandria via LeMat-Bulk).

a = 6.5223 Å, b = 6.5223 Å, c = 12.9759 Å
α = 90.00°, β = 90.00°, γ = 90.00°
With the nearest neighbours (Å) after each atom.
Space group I4_1/amd (No. 141, origin choice 2)
Inequivalent atoms, fractional coordinates:
1 Li 0.0000 0.2500 0.3750 [4 per cell]  8 Hg 2.81
2 Hg 0.2466 0.0000 0.5000 [16 per cell]  2 Li 2.81, 2 Pd 2.83
3 Pd 0.0000 0.2500 0.8750 [4 per cell]  8 Hg 2.83

No. 3
# Li4Hg2Pd3

An optimized crystal structure of Li4Hg2Pd3 (GGA-PBE, Alexandria via LeMat-Bulk).

Calculated values
Offset from the most stable computed form in kcal/mol of atoms: 0.00

a = 4.1004 Å, b = 4.7134 Å, c = 8.2964 Å
α = 101.64°, β = 90.12°, γ = 115.71°
With the nearest neighbours (Å) after each atom.
Space group P-1 (No. 2)
Inequivalent atoms, fractional coordinates:
1 Li 0.0105 0.0212 0.3465 [2 per cell]  1 Li 2.59, 6 Pd 2.68-2.86, 3 Hg 2.78-2.85
2 Li 0.3374 0.6747 0.1098 [2 per cell]  4 Pd 2.69-2.80, 4 Hg 2.73-2.77, 4 Li 2.92-2.99
3 Hg 0.3303 0.6601 0.7786 [2 per cell]  7 Li 2.73-2.85, 5 Pd 2.85-2.91
4 Pd 0.0000 0.0000 0.0000 [1 per cell]  8 Li 2.74-2.86, 4 Hg 2.91
5 Pd 0.3346 0.6691 0.4336 [2 per cell]  6 Li 2.68-2.86, 3 Pd 2.78-2.87, 3 Hg 2.85-2.87

No. 4
# Li5Hg4Pd2

An optimized crystal structure of Li5Hg4Pd2 (GGA-PBE, Alexandria via LeMat-Bulk).

a = 7.4054 Å, b = 16.9589 Å, c = 3.0762 Å
α = 90.00°, β = 90.00°, γ = 90.00°
With the nearest neighbours (Å) after each atom.
Space group Pbam (No. 55)
Inequivalent atoms, fractional coordinates:
1 Li 0.0000 0.0000 0.0000 [2 per cell]  8 Hg 2.88-3.03, 4 Li 3.04-3.08
2 Li 0.1274 0.4250 0.0000 [4 per cell]  2 Pd 2.63, 6 Hg 2.89-2.93
3 Li 0.2431 0.2157 0.0000 [4 per cell]  4 Pd 2.65-2.68
4 Hg 0.0889 0.8511 0.5000 [4 per cell]  2 Pd 2.81-2.88, 8 Li 2.89-3.11, 2 Hg 3.08
5 Hg 0.2081 0.5658 0.5000 [4 per cell]  1 Pd 2.83, 8 Li 2.88-2.99, 3 Hg 3.08-3.15
6 Pd 0.0361 0.3055 0.5000 [4 per cell]  6 Li 2.63-2.68, 3 Hg 2.81-2.88

No. 5
# LiHg2Pd

An optimized crystal structure of LiHg2Pd (GGA-PBE, Alexandria via LeMat-Bulk).

Calculated values
Offset from the most stable computed form in kcal/mol of atoms: 0.68

a = 4.3323 Å, b = 4.3323 Å, c = 3.8402 Å
α = 90.00°, β = 90.00°, γ = 90.00°
With the nearest neighbours (Å) after each atom.
Space group P4/mmm (No. 123)
Inequivalent atoms, fractional coordinates:
1 Li 0.0000 0.0000 0.0000 [1 per cell]  8 Hg 2.89, 4 Pd 3.06
2 Hg 0.0000 0.5000 0.5000 [2 per cell]  4 Li 2.89, 4 Pd 2.89, 4 Hg 3.06
3 Pd 0.5000 0.5000 0.0000 [1 per cell]  8 Hg 2.89, 4 Li 3.06

No. 6
# Li5HgPd5

An optimized crystal structure of Li5HgPd5 (GGA-PBE, Alexandria via LeMat-Bulk).

a = 5.0262 Å, b = 5.2928 Å, c = 6.6378 Å
α = 100.03°, β = 98.43°, γ = 97.84°
With the nearest neighbours (Å) after each atom.
Space group P-1 (No. 2)
Inequivalent atoms, fractional coordinates:
1 Li 0.0000 0.0000 0.0000 [1 per cell]  2 Hg 2.51, 4 Pd 2.61-2.62, 4 Li 2.76-2.77
2 Li 0.2691 0.5083 0.1196 [2 per cell]  4 Pd 2.63-2.75, 3 Li 2.76-2.91
3 Li 0.2948 0.9815 0.3806 [2 per cell]  1 Li 2.37, 1 Pd 2.56
4 Hg 0.5000 0.0000 0.0000 [1 per cell]  2 Li 2.51, 2 Pd 2.77
5 Pd 0.0846 0.7145 0.6589 [2 per cell]  4 Li 2.62-2.76, 5 Pd 2.72-2.84, 1 Hg 2.89
6 Pd 0.2005 0.2480 0.7340 [2 per cell]  5 Li 2.56-2.75, 4 Pd 2.70-2.84, 1 Hg 2.77
7 Pd 0.5000 0.5000 0.5000 [1 per cell]  4 Li 2.63-2.73, 4 Pd 2.70-2.76

No. 7
# Li2HgPd

An optimized crystal structure of Li2HgPd (GGA-PBE, Alexandria via LeMat-Bulk).

a = 4.5551 Å, b = 4.5551 Å, c = 6.3710 Å
α = 90.00°, β = 90.00°, γ = 90.00°
With the nearest neighbours (Å) after each atom.
Space group I-4m2 (No. 119)
Inequivalent atoms, fractional coordinates:
1 Li 0.0000 0.0000 0.0000 [2 per cell]  4 Hg 2.78, 4 Li 2.78
2 Li 0.0000 0.5000 0.2500 [2 per cell]  4 Li 2.78, 4 Pd 2.78
3 Hg 0.0000 0.5000 0.7500 [2 per cell]  4 Li 2.78, 4 Pd 2.78
4 Pd 0.0000 0.0000 0.5000 [2 per cell]  4 Hg 2.78, 4 Li 2.78

No. 8
# Li12Hg2Pd5

An optimized crystal structure of Li12Hg2Pd5 (GGA-PBE, Alexandria via LeMat-Bulk).

a = 13.0456 Å, b = 7.6846 Å, c = 5.8310 Å
α = 90.00°, β = 94.91°, γ = 90.00°
With the nearest neighbours (Å) after each atom.
Space group C2/m (No. 12)
Inequivalent atoms, fractional coordinates:
1 Li 0.0418 0.0000 0.2546 [4 per cell]  3 Pd 2.57-2.77, 2 Hg 2.72, 4 Li 2.80-2.85
2 Li 0.1099 0.2334 0.6034 [8 per cell]  3 Pd 2.54-2.65, 5 Li 2.59-2.85
3 Li 0.1539 0.5000 0.8663 [4 per cell]  3 Pd 2.53-2.80, 4 Li 2.59-2.65, 2 Hg 2.73
4 Li 0.1957 0.2786 0.2110 [8 per cell]  4 Pd 2.63-2.72, 3 Li 2.65-2.67, 1 Hg 2.74
5 Hg 0.0000 0.2923 0.0000 [4 per cell]  8 Li 2.72-2.86
6 Pd 0.0000 0.5000 0.5000 [2 per cell]  6 Li 2.54-2.80
7 Pd 0.1613 0.0000 0.9265 [4 per cell]  9 Li 2.57-2.77
8 Pd 0.2353 0.0000 0.4689 [4 per cell]  8 Li 2.53-2.72

No. 9
# Li3HgPd2

An optimized crystal structure of Li3HgPd2 (GGA-PBE, Alexandria via LeMat-Bulk).

Calculated values
Offset from the most stable computed form in kcal/mol of atoms: 0.00

a = 4.3914 Å, b = 6.1132 Å, c = 6.9316 Å
α = 90.00°, β = 107.70°, γ = 90.00°
With the nearest neighbours (Å) after each atom.
Space group P2/m (No. 10)
Inequivalent atoms, fractional coordinates:
1 Li 0.0000 0.2272 0.0000 [2 per cell]  6 Pd 2.60-2.76, 2 Hg 2.68, 1 Li 2.78
2 Li 0.3373 0.2321 0.6732 [4 per cell]  5 Pd 2.58-2.71, 3 Hg 2.73-2.86, 1 Li 2.84
3 Hg 0.1569 0.5000 0.3176 [2 per cell]  8 Li 2.68-2.86
4 Pd 0.1691 0.0000 0.3383 [2 per cell]  8 Li 2.61-2.63
5 Pd 0.5000 0.0000 0.0000 [1 per cell]  8 Li 2.58-2.60
6 Pd 0.5000 0.5000 0.0000 [1 per cell]  8 Li 2.71-2.76, 2 Hg 3.02

No. 10
# Li4HgPd

An optimized crystal structure of Li4HgPd (GGA-PBE, Alexandria via LeMat-Bulk).

Calculated values
Offset from the most stable computed form in kcal/mol of atoms: 0.00

a = 4.3811 Å, b = 5.5705 Å, c = 7.7025 Å
α = 90.00°, β = 90.00°, γ = 90.00°
With the nearest neighbours (Å) after each atom.
Space group Immm (No. 71)
Inequivalent atoms, fractional coordinates:
1 Li 0.0000 0.2445 0.1659 [8 per cell]  5 Li 2.55-2.85
2 Hg 0.0000 0.0000 0.5000 [2 per cell]  2 Pd 2.79, 12 Li 2.91
3 Pd 0.0000 0.5000 0.5000 [2 per cell]  2 Hg 2.79, 12 Li 2.88-2.94

No. 11
# Li7HgPd4

An optimized crystal structure of Li7HgPd4 (GGA-PBE, Alexandria via LeMat-Bulk).

a = 12.6799 Å, b = 4.6452 Å, c = 7.5608 Å
α = 90.00°, β = 122.30°, γ = 90.00°
With the nearest neighbours (Å) after each atom.
Space group C2/m (No. 12)
Inequivalent atoms, fractional coordinates:
1 Li 0.0000 0.0000 0.0000 [2 per cell]  2 Hg 2.32, 4 Pd 2.43-2.58
2 Li 0.0775 0.5000 0.4242 [4 per cell]  3 Pd 2.54-2.71, 1 Li 2.76, 1 Hg 2.81
3 Li 0.1960 0.5000 0.8717 [4 per cell]  4 Pd 2.79-3.06, 7 Li 2.80-2.96, 1 Hg 3.11
4 Li 0.2475 0.0000 0.7155 [4 per cell]  4 Pd 2.43-2.61
5 Hg 0.0000 0.5000 0.0000 [2 per cell]  2 Li 2.32
6 Pd 0.0514 0.0000 0.7126 [4 per cell]  4 Li 2.47-2.71, 1 Pd 2.75
7 Pd 0.1856 0.0000 0.3507 [4 per cell]  5 Li 2.43-2.61

No. 12
# Li12HgPd6

An optimized crystal structure of Li12HgPd6 (GGA-PBE, Alexandria via LeMat-Bulk).

Calculated values
Offset from the most stable computed form in kcal/mol of atoms: 0.91

a = 9.5972 Å, b = 9.5972 Å, c = 11.4561 Å
α = 90.00°, β = 90.00°, γ = 120.00°
With the nearest neighbours (Å) after each atom.
Space group R-3 (No. 148, hexagonal axes)
Inequivalent atoms, fractional coordinates:
1 Li 0.0329 0.2001 0.3156 [18 per cell]  3 Li 2.59-2.90, 4 Pd 2.67-2.81, 1 Hg 2.76
2 Li 0.0621 0.8386 0.9145 [18 per cell]  4 Pd 2.65-2.70, 5 Li 2.74-2.90
3 Hg 0.0000 0.0000 0.5000 [3 per cell]  6 Li 2.76, 6 Pd 2.78
4 Pd 0.0132 0.4320 0.2018 [18 per cell]  8 Li 2.65-2.81, 1 Hg 2.78, 2 Pd 2.87

| no. | electronic total energy (eV per atom) | DFT formation energy (meV/atom) |
| --- | --- | --- |
| 1 | -1.73 | -352 |
| 2 | -1.49 | -102 |
| 3 | -3.05 | -399 |
| 4 | -2.29 | -366 |
| 5 | -2.21 | -282 |
| 6 | -3.58 | -322 |
| 7 | -2.73 | -400 |
| 8 | -2.91 | -303 |
| 9 | -3.15 | -412 |
| 10 | -2.52 | -332 |
| 11 | -3.11 | -238 |
| 12 | -3.18 | -311 |